1.
Material: YCuCl2
Method: DFT, meta-GGA SCAN
State: PBEsol geometry

Lattice parameters (Å, degrees): 4.1150 4.1150 8.7537 90.00 90.00 90.00
Last column: nearest neighbours and their distance in Å.
Positions (direct):
Y 0.0000 0.0000 0.0000  8 Cl 2.91-3.00, 4 Cu 3.00
Y 0.5000 0.5000 0.5000  8 Cl 2.91-3.00, 4 Cu 3.00
Cu 0.0000 0.5000 0.7500  8 Cl 2.91-3.00, 4 Y 3.00
Cu 0.5000 0.0000 0.2500  8 Cl 2.91-3.00, 4 Y 3.00
Cl 0.0000 0.0000 0.5000  4 Y 2.91, 4 Cl 3.00, 4 Cu 3.00
Cl 0.0000 0.5000 0.2500  4 Cu 2.91, 4 Cl 3.00, 4 Y 3.00
Cl 0.5000 0.0000 0.7500  4 Cu 2.91, 4 Cl 3.00, 4 Y 3.00
Cl 0.5000 0.5000 0.0000  4 Y 2.91, 4 Cl 3.00, 4 Cu 3.00

Values from the calculation:
Size of the total moment   0.000 μB/atom
Energy   -62.7 eV/f.u.
Distance to the lowest polymorph of the same formula   98.9 kJ/mol of formula units


2.
Material: YCuCl2
Method: DFT, meta-GGA SCAN
State: PBEsol geometry

Lattice parameters (Å, degrees): 3.5449 4.7267 12.3678 90.00 90.00 90.00
Last column: nearest neighbours and their distance in Å.
Positions (direct):
Y 0.0000 0.0000 0.0000  4 Cl 2.63
Y 0.5000 0.5000 0.5000  4 Cl 2.63
Cu 0.0000 0.0000 0.5000  4 Y 2.95, 4 Cl 3.06
Cu 0.5000 0.5000 0.0000  4 Y 2.95, 4 Cl 3.06
Cl 0.0000 0.5000 0.3424  2 Y 2.63
Cl 0.0000 0.5000 0.6576  2 Y 2.63
Cl 0.5000 0.0000 0.1576  2 Y 2.63
Cl 0.5000 0.0000 0.8424  2 Y 2.63

Values from the calculation:
Size of the total moment   0.000 μB/atom
Energy   -63.7 eV/f.u.
Distance to the lowest polymorph of the same formula   0.0 kJ/mol of formula units


3.
Material: YCu2Cl
Method: DFT, meta-GGA SCAN
State: PBEsol geometry

Lattice parameters (Å, degrees): 3.3422 3.3422 6.3200 90.00 90.00 90.00
Last column: nearest neighbours and their distance in Å.
Positions (direct):
Y 0.0000 0.0000 0.0000  8 Cu 2.92, 2 Cl 3.16
Cu 0.5000 0.5000 0.2726  4 Cl 2.77, 1 Cu 2.87, 4 Y 2.92
Cu 0.5000 0.5000 0.7274  4 Cl 2.77, 1 Cu 2.87, 4 Y 2.92
Cl 0.0000 0.0000 0.5000  8 Cu 2.77

Values from the calculation:
Size of the total moment   0.003 μB/atom
Energy   -67.1 eV/f.u.
Distance to the lowest polymorph of the same formula   65.2 kJ/mol of formula units


4.
Material: YCu2Cl
Method: DFT, meta-GGA SCAN
State: PBEsol geometry

Lattice parameters (Å, degrees): 3.4209 3.9832 10.1314 90.00 90.00 90.00
Last column: nearest neighbours and their distance in Å.
Positions (direct):
Y 0.0000 0.0000 0.0000  4 Cl 2.63
Y 0.5000 0.5000 0.5000  4 Cl 2.63
Cu 0.0000 0.5000 0.2518  4 Cu 2.63
Cu 0.0000 0.5000 0.7482  4 Cu 2.63
Cu 0.5000 0.0000 0.2482  4 Cu 2.63
Cu 0.5000 0.0000 0.7518  4 Cu 2.63
Cl 0.0000 0.0000 0.5000  4 Y 2.63
Cl 0.5000 0.5000 0.0000  4 Y 2.63

Values from the calculation:
Size of the total moment   0.000 μB/atom
Energy   -67.8 eV/f.u.
Distance to the lowest polymorph of the same formula   0.0 kJ/mol of formula units


5.
Material: YCuCl
Method: DFT, meta-GGA SCAN
State: PBEsol geometry

Lattice parameters (Å, degrees): 4.5431 4.5431 3.5371 90.00 90.00 120.00
Last column: nearest neighbours and their distance in Å.
Positions (direct):
Y 0.0000 0.0000 0.0000  3 Cl 2.62
Cu 0.6667 0.3333 0.5000  6 Y 3.16, 6 Cl 3.16, 2 Cu 3.54
Cl 0.3333 0.6667 0.0000  3 Y 2.62

Values from the calculation:
Size of the total moment   0.000 μB/atom
Energy   -52.8 eV/f.u.


6.
Material: ZnCu2Cl
Method: DFT, meta-GGA SCAN
State: PBEsol geometry

Lattice parameters (Å, degrees): 2.9765 2.9765 22.1076 90.00 90.00 120.00
Last column: nearest neighbours and their distance in Å.
Positions (direct):
Zn 0.0000 0.0000 0.0000  6 Cu 2.53
Zn 0.3333 0.6667 0.6667  6 Cu 2.53
Zn 0.6667 0.3333 0.3333  6 Cu 2.53
Cu 0.0000 0.0000 0.2494  3 Cl 2.51, 3 Zn 2.53
Cu 0.0000 0.0000 0.7506  3 Cl 2.51, 3 Zn 2.53
Cu 0.3333 0.6667 0.4173  3 Cl 2.51, 3 Zn 2.53
Cu 0.3333 0.6667 0.9161  3 Cl 2.51, 3 Zn 2.53
Cu 0.6667 0.3333 0.0839  3 Cl 2.51, 3 Zn 2.53
Cu 0.6667 0.3333 0.5827  3 Cl 2.51, 3 Zn 2.53
Cl 0.0000 0.0000 0.5000  6 Cu 2.51
Cl 0.3333 0.6667 0.1667  6 Cu 2.51
Cl 0.6667 0.3333 0.8333  6 Cu 2.51

Values from the calculation:
Size of the total moment   0.000 μB/atom
Energy   -51.7 eV/f.u.
Distance to the lowest polymorph of the same formula   45.1 kJ/mol of formula units